This record from Alexandria describes an optimized crystal structure of K3In5H12. The functional is PBE-GGA.

abc: 12.329 12.329 12.329
angles: 109.47 109.47 109.47
Fractional coordinates of all 80 atoms:
K (0.125, 0.250, 0.375)
K (0.125, 0.375, 0.750)
K (0.250, 0.375, 0.125)
K (0.250, 0.875, 0.625)
K (0.375, 0.125, 0.250)
K (0.375, 0.750, 0.125)
K (0.625, 0.250, 0.875)
K (0.625, 0.875, 0.750)
K (0.750, 0.125, 0.375)
K (0.750, 0.625, 0.875)
K (0.875, 0.625, 0.250)
K (0.875, 0.750, 0.625)
In (0.000, 0.000, 0.000)
In (0.000, 0.000, 0.500)
In (0.000, 0.500, 0.000)
In (0.000, 0.500, 0.500)
In (0.125, 0.750, 0.875)
In (0.125, 0.875, 0.250)
In (0.250, 0.125, 0.875)
In (0.250, 0.625, 0.375)
In (0.375, 0.250, 0.625)
In (0.375, 0.625, 0.750)
In (0.500, 0.000, 0.000)
In (0.500, 0.000, 0.500)
In (0.500, 0.500, 0.000)
In (0.500, 0.500, 0.500)
In (0.625, 0.375, 0.250)
In (0.625, 0.750, 0.375)
In (0.750, 0.375, 0.625)
In (0.750, 0.875, 0.125)
In (0.875, 0.125, 0.750)
In (0.875, 0.250, 0.125)
H (0.006, 0.215, 0.116)
H (0.006, 0.291, 0.890)
H (0.099, 0.715, 0.709)
H (0.099, 0.884, 0.390)
H (0.110, 0.616, 0.401)
H (0.110, 0.994, 0.709)
H (0.116, 0.006, 0.215)
H (0.116, 0.610, 0.901)
H (0.209, 0.215, 0.599)
H (0.209, 0.494, 0.610)
H (0.215, 0.116, 0.006)
H (0.215, 0.599, 0.209)
H (0.285, 0.291, 0.901)
H (0.285, 0.494, 0.384)
H (0.291, 0.890, 0.006)
H (0.291, 0.901, 0.285)
H (0.384, 0.285, 0.494)
H (0.384, 0.599, 0.890)
H (0.390, 0.099, 0.884)
H (0.390, 0.791, 0.506)
H (0.401, 0.110, 0.616)
H (0.401, 0.791, 0.785)
H (0.494, 0.384, 0.285)
H (0.494, 0.610, 0.209)
H (0.506, 0.390, 0.791)
H (0.506, 0.616, 0.715)
H (0.599, 0.209, 0.215)
H (0.599, 0.890, 0.384)
H (0.610, 0.209, 0.494)
H (0.610, 0.901, 0.116)
H (0.616, 0.401, 0.110)
H (0.616, 0.715, 0.506)
H (0.709, 0.099, 0.715)
H (0.709, 0.110, 0.994)
H (0.715, 0.506, 0.616)
H (0.715, 0.709, 0.099)
H (0.785, 0.401, 0.791)
H (0.785, 0.884, 0.994)
H (0.791, 0.506, 0.390)
H (0.791, 0.785, 0.401)
H (0.884, 0.390, 0.099)
H (0.884, 0.994, 0.785)
H (0.890, 0.006, 0.291)
H (0.890, 0.384, 0.599)
H (0.901, 0.116, 0.610)
H (0.901, 0.285, 0.291)
H (0.994, 0.709, 0.110)
H (0.994, 0.785, 0.884)

Output
Raw total energy ... -2.752 eV/atom
Total magnetic moment ... 0.00 μB/f.u.
SG ... Ia-3d (230)
V ... 18.04 Å³ per atom